Here is Ag5Te4PBr2 after structural relaxation from the Open Quantum Materials Database. Energies are from GGA-PBE.

For the total energy, the calculation gives -3.0759 eV per atom.

Cell and atoms, written as CIF:
```
data_Ag5Te4PBr2
_chemical_formula_sum 'Ag10 Te8 P2 Br4'
_symmetry_space_group_name_H-M 'A m m 2'
_symmetry_Int_Tables_number 38
_symmetry_space_group_name_Hall 'A 2 -2'
_cell_length_a 8.2753
_cell_length_b 12.4855
_cell_length_c 6.6920
_cell_angle_alpha 90.00
_cell_angle_beta 90.00
_cell_angle_gamma 90.00
loop_
_atom_site_label
_atom_site_fract_x
_atom_site_fract_y
_atom_site_fract_z
Ag1 0.0000 0.0000 0.0000
Ag2 0.2710 0.1948 0.5093
Te1 0.2469 0.0000 0.7140
Te2 0.5000 0.1605 0.1486
P1 0.5000 0.0000 0.9153
Br1 0.0000 0.1715 0.2652
```


Here is HoMgGa2Ir4 after structural relaxation from the Open Quantum Materials Database. Energies are from GGA-PBE.

For the total energy, the calculation gives -6.4749 eV per atom. As for the size of the total moment: 0.00 μB per formula unit.

Cell and atoms, written as CIF:
```
data_HoMgGa2Ir4
_chemical_formula_sum 'Ho1 Mg1 Ga2 Ir4'
_symmetry_space_group_name_H-M 'P 4/m m m'
_symmetry_Int_Tables_number 123
_symmetry_space_group_name_Hall '-P 4 2'
_cell_length_a 4.4358
_cell_length_b 4.4358
_cell_length_c 6.3656
_cell_angle_alpha 90.00
_cell_angle_beta 90.00
_cell_angle_gamma 90.00
loop_
_atom_site_label
_atom_site_fract_x
_atom_site_fract_y
_atom_site_fract_z
Ho1 0.0000 0.0000 0.0000
Mg1 0.5000 0.5000 0.5000
Ga1 0.0000 0.0000 0.5000
Ga2 0.5000 0.5000 0.0000
Ir1 0.0000 0.5000 0.2663
```


Here is RbGdInSe3 after structural relaxation from the Open Quantum Materials Database. Energies are from GGA-PBE.

For the total energy, the calculation gives -4.3060 eV per atom. As for the size of the total moment: 0.02 μB per formula unit.

Cell and atoms, written as CIF:
```
data_RbGdInSe3
_chemical_formula_sum 'Rb4 Gd4 In4 Se12'
_symmetry_space_group_name_H-M 'C m c m'
_symmetry_Int_Tables_number 63
_symmetry_space_group_name_Hall '-C 2c 2'
_cell_length_a 4.2709
_cell_length_b 15.8379
_cell_length_c 11.7675
_cell_angle_alpha 90.00
_cell_angle_beta 90.00
_cell_angle_gamma 90.00
loop_
_atom_site_label
_atom_site_fract_x
_atom_site_fract_y
_atom_site_fract_z
Rb1 0.0000 0.2179 0.2500
Gd1 0.0000 0.5000 0.0000
In1 0.0000 0.0812 0.7500
Se1 0.0000 0.1246 0.5224
Se2 0.0000 0.4676 0.7500
```